No. 1
Entry from the Alexandria database: a relaxed Nd2Ga2Au3 crystal (GGA-PBE).

```
data_Nd2Ga2Au3
_space_group_name_H-M_alt 'P 1'
_space_group_IT_number 1
_cell_length_a 10.270
_cell_length_b 10.270
_cell_length_c 7.316
_cell_angle_alpha 90.00
_cell_angle_beta 90.00
_cell_angle_gamma 155.97
loop_
_space_group_symop_operation_xyz
'x,y,z'
loop_
_atom_site_label
_atom_site_type_symbol
_atom_site_fract_x
_atom_site_fract_y
_atom_site_fract_z
Nd1 Nd 0.057 0.943 0.750
Nd2 Nd 0.157 0.843 0.250
Nd3 Nd 0.843 0.157 0.750
Nd4 Nd 0.943 0.057 0.250
Ga1 Ga 0.310 0.690 0.056
Ga2 Ga 0.310 0.690 0.444
Ga3 Ga 0.690 0.310 0.556
Ga4 Ga 0.690 0.310 0.944
Au1 Au 0.222 0.778 0.750
Au2 Au 0.436 0.564 0.557
Au3 Au 0.436 0.564 0.943
Au4 Au 0.564 0.436 0.057
Au5 Au 0.564 0.436 0.443
Au6 Au 0.778 0.222 0.250
```

energy relative to the elements: -66 kJ per mole of atoms
polymorph energy (0 for the lowest one): 2 meV/atom

=====

No. 2
Entry from the Alexandria database: a relaxed La2InGe2 crystal (GGA-PBE).

```
data_La2InGe2
_space_group_name_H-M_alt 'P 1'
_space_group_IT_number 1
_cell_length_a 3.861
_cell_length_b 3.861
_cell_length_c 18.885
_cell_angle_alpha 90.00
_cell_angle_beta 90.00
_cell_angle_gamma 90.00
loop_
_space_group_symop_operation_xyz
'x,y,z'
loop_
_atom_site_label
_atom_site_type_symbol
_atom_site_fract_x
_atom_site_fract_y
_atom_site_fract_z
La1 La 0.000 0.000 0.116
La2 La 0.000 0.000 0.884
La3 La 0.500 0.500 0.384
La4 La 0.500 0.500 0.616
In1 In 0.000 0.000 0.500
In2 In 0.500 0.500 0.000
Ge1 Ge 0.000 0.500 0.250
Ge2 Ge 0.000 0.500 0.750
Ge3 Ge 0.500 0.000 0.250
Ge4 Ge 0.500 0.000 0.750
```

energy relative to the elements: -42 kJ per mole of atoms
polymorph energy (0 for the lowest one): 333 meV/atom

=====

No. 3
Entry from the Alexandria database: a relaxed LaHoS3 crystal (GGA-PBE).

```
data_LaHoS3
_space_group_name_H-M_alt 'P 1'
_space_group_IT_number 1
_cell_length_a 7.922
_cell_length_b 4.006
_cell_length_c 7.936
_cell_angle_alpha 90.00
_cell_angle_beta 95.10
_cell_angle_gamma 90.00
loop_
_space_group_symop_operation_xyz
'x,y,z'
loop_
_atom_site_label
_atom_site_type_symbol
_atom_site_fract_x
_atom_site_fract_y
_atom_site_fract_z
La1 La 0.228 0.250 0.375
La2 La 0.772 0.750 0.625
Ho1 Ho 0.328 0.250 0.852
Ho2 Ho 0.672 0.750 0.148
S1 S 0.027 0.250 0.684
S2 S 0.320 0.750 0.091
S3 S 0.388 0.750 0.628
S4 S 0.612 0.250 0.372
S5 S 0.680 0.250 0.909
S6 S 0.973 0.750 0.316
```

polymorph energy (0 for the lowest one): 15 meV/atom
energy relative to the elements, uncorrected: -2.129 eV/atom

=====

No. 4
Entry from the Alexandria database: a relaxed CsNaTl4Pb2 crystal (GGA-PBE).

```
data_CsNaTl4Pb2
_space_group_name_H-M_alt 'P 1'
_space_group_IT_number 1
_cell_length_a 11.212
_cell_length_b 11.212
_cell_length_c 11.212
_cell_angle_alpha 28.36
_cell_angle_beta 28.36
_cell_angle_gamma 28.36
loop_
_space_group_symop_operation_xyz
'x,y,z'
loop_
_atom_site_label
_atom_site_type_symbol
_atom_site_fract_x
_atom_site_fract_y
_atom_site_fract_z
Cs1 Cs 0.000 0.000 0.000
Na1 Na 0.500 0.500 0.500
Tl1 Tl 0.132 0.132 0.132
Tl2 Tl 0.400 0.400 0.400
Tl3 Tl 0.600 0.600 0.600
Tl4 Tl 0.868 0.868 0.868
Pb1 Pb 0.237 0.237 0.237
Pb2 Pb 0.763 0.763 0.763
```

energy relative to the elements: -8 kJ per mole of atoms

=====

No. 5
Entry from the Alexandria database: a relaxed MgCd8Pt6 crystal (GGA-PBE).

```
data_MgCd8Pt6
_space_group_name_H-M_alt 'P 1'
_space_group_IT_number 1
_cell_length_a 7.216
_cell_length_b 7.216
_cell_length_c 7.216
_cell_angle_alpha 66.45
_cell_angle_beta 66.45
_cell_angle_gamma 66.45
loop_
_space_group_symop_operation_xyz
'x,y,z'
loop_
_atom_site_label
_atom_site_type_symbol
_atom_site_fract_x
_atom_site_fract_y
_atom_site_fract_z
Mg1 Mg 0.000 0.000 0.000
Cd1 Cd 0.121 0.454 0.786
Cd2 Cd 0.214 0.879 0.546
Cd3 Cd 0.332 0.332 0.332
Cd4 Cd 0.454 0.786 0.121
Cd5 Cd 0.546 0.214 0.879
Cd6 Cd 0.668 0.668 0.668
Cd7 Cd 0.786 0.121 0.454
Cd8 Cd 0.879 0.546 0.214
Pt1 Pt 0.048 0.722 0.372
Pt2 Pt 0.278 0.628 0.952
Pt3 Pt 0.372 0.048 0.722
Pt4 Pt 0.628 0.952 0.278
Pt5 Pt 0.722 0.372 0.048
Pt6 Pt 0.952 0.278 0.628
```

energy relative to the elements: -33 kJ per mole of atoms

=====

No. 6
Entry from the Alexandria database: a relaxed Pa2Ge3Ir2 crystal (GGA-PBE).

```
data_Pa2Ge3Ir2
_space_group_name_H-M_alt 'P 1'
_space_group_IT_number 1
_cell_length_a 9.411
_cell_length_b 9.411
_cell_length_c 6.979
_cell_angle_alpha 90.00
_cell_angle_beta 90.00
_cell_angle_gamma 154.31
loop_
_space_group_symop_operation_xyz
'x,y,z'
loop_
_atom_site_label
_atom_site_type_symbol
_atom_site_fract_x
_atom_site_fract_y
_atom_site_fract_z
Pa1 Pa 0.053 0.947 0.750
Pa2 Pa 0.158 0.842 0.250
Pa3 Pa 0.842 0.158 0.750
Pa4 Pa 0.947 0.053 0.250
Ge1 Ge 0.217 0.783 0.750
Ge2 Ge 0.437 0.563 0.560
Ge3 Ge 0.437 0.563 0.940
Ge4 Ge 0.563 0.437 0.060
Ge5 Ge 0.563 0.437 0.440
Ge6 Ge 0.783 0.217 0.250
Ir1 Ir 0.306 0.694 0.041
Ir2 Ir 0.306 0.694 0.459
Ir3 Ir 0.694 0.306 0.541
Ir4 Ir 0.694 0.306 0.959
```

energy relative to the elements: -60 kJ per mole of atoms

=====

no.,calculated density (g cm⁻³)
1,10.77
2,6.35
3,5.30
4,8.20
5,11.49
6,13.19